--- a ---
# CdGaReSn

Crystalline CdGaReSn at its relaxed geometry (GGA-PBE, Alexandria).

Unit cell a=8.093 b=8.093 c=3.236 alpha=101.33 beta=101.33 gamma=23.91
Atoms (fractional coordinates):
1 Cd 0.000 0.000 0.000
2 Ga 0.813 0.813 0.817
3 Re 0.381 0.381 0.383
4 Sn 0.192 0.192 0.200

## Properties
SG   Cm (8)
Mass density   9.6 g cm⁻³
M_tot   0.00 μB/cell



--- b ---
# CdGaReSn

Crystalline CdGaReSn at its relaxed geometry (GGA-PBE, Alexandria).

Unit cell a=5.199 b=5.199 c=8.310 alpha=122.80 beta=122.80 gamma=33.35
Atoms (fractional coordinates):
1 Cd 0.000 0.000 0.000
2 Ga 0.319 0.319 0.652
3 Re 0.643 0.643 0.353
4 Sn 0.907 0.907 0.339

## Properties
SG   Cm (8)
Mass density   7.9 g cm⁻³
M_tot   0.49 μB/cell



What are the relative energies? In eV/atom: a 0.000; b 0.034.